A plane-wave DFT calculation with PBE was carried out for crystalline Te3As at its relaxed geometry.

POSCAR file:
```
Te3As
1.0
6.144 0.000 0.000
0.000 4.388 0.000
0.000 0.000 4.391
Te As
3 1
direct
0.500 0.500 0.334
0.000 0.000 0.833
0.000 0.500 0.333
0.500 0.000 0.834
```

Values from the calculation:
Formation energy from raw total energies ... 110 meV/atom

---

A plane-wave DFT calculation with PBE was carried out for crystalline TeAs3 at its relaxed geometry.

POSCAR file:
```
TeAs3
1.0
-1.499 -1.042 4.024
-4.003 -0.794 -1.696
1.123 -4.221 -0.675
Te As
1 3
direct
0.000 0.000 0.000
0.500 0.500 0.000
0.500 0.000 0.500
0.000 0.500 0.500
```

Values from the calculation:
Formation energy from raw total energies ... 592 meV/atom

---

A plane-wave DFT calculation with PBE was carried out for crystalline Te3As at its relaxed geometry.

POSCAR file:
```
Te3As
1.0
-2.055 2.055 16.018
2.055 -2.055 16.018
2.055 2.055 -16.018
Te As
6 2
direct
0.750 0.250 0.500
0.500 0.000 0.500
0.250 0.750 0.500
0.000 0.500 0.500
0.876 0.876 0.000
0.124 0.124 0.000
0.396 0.396 0.000
0.604 0.604 0.000
```

Values from the calculation:
Formation energy from raw total energies ... 306 meV/atom

---

A plane-wave DFT calculation with PBE was carried out for crystalline Te3As at its relaxed geometry.

POSCAR file:
```
Te3As
1.0
3.950 -8.838 0.000
3.950 8.838 0.000
0.000 0.000 3.908
As Te
2 6
direct
0.323 0.677 0.750
0.677 0.323 0.250
0.161 0.839 0.250
0.608 0.834 0.250
0.839 0.161 0.750
0.166 0.392 0.250
0.392 0.166 0.750
0.834 0.608 0.750
```

Values from the calculation:
Formation energy from raw total energies ... 163 meV/atom

---

A plane-wave DFT calculation with PBE was carried out for crystalline TeAs3 at its relaxed geometry.

POSCAR file:
```
TeAs3
1.0
5.803 0.000 0.000
0.000 3.871 0.000
0.000 0.000 4.330
Te As
1 3
direct
0.500 0.000 0.825
0.500 0.500 0.324
0.000 0.500 0.285
0.000 0.000 0.900
```

Values from the calculation:
Formation energy from raw total energies ... 102 meV/atom

---

A plane-wave DFT calculation with PBE was carried out for crystalline TeAs3 at its relaxed geometry.

POSCAR file:
```
TeAs3
1.0
3.794 0.000 0.000
-1.897 3.286 0.000
0.000 0.000 7.498
As Te
3 1
direct
0.000 0.000 0.475
0.667 0.333 0.250
0.000 0.000 0.025
0.667 0.333 0.750
```

Values from the calculation:
Formation energy from raw total energies ... 254 meV/atom

---

A plane-wave DFT calculation with PBE was carried out for crystalline Te5As4 at its relaxed geometry.

POSCAR file:
```
Te5As4
1.0
-4.492 -4.741 5.279
5.261 6.204 -2.085
-6.743 4.387 -2.409
As Te
4 5
direct
0.625 0.000 0.625
0.375 0.000 0.375
0.000 0.625 0.625
0.000 0.375 0.375
0.321 0.321 0.642
0.679 0.679 0.358
0.321 0.679 0.000
0.000 0.000 0.000
0.679 0.321 0.000
```

Values from the calculation:
Formation energy from raw total energies ... 310 meV/atom

---

A plane-wave DFT calculation with PBE was carried out for crystalline TeAs3 at its relaxed geometry.

POSCAR file:
```
TeAs3
1.0
6.332 0.011 0.035
5.124 3.719 0.035
-1.121 -0.365 4.130
As Te
3 1
direct
0.500 0.500 0.500
0.260 0.260 0.315
0.740 0.740 0.685
0.000 0.000 0.000
```

Values from the calculation:
Formation energy from raw total energies ... 96 meV/atom

---

A plane-wave DFT calculation with PBE was carried out for crystalline TeAs3 at its relaxed geometry.

POSCAR file:
```
TeAs3
1.0
4.384 -5.302 0.000
4.384 5.302 0.000
0.000 0.000 5.338
Te As
2 6
direct
0.448 0.552 0.250
0.552 0.448 0.750
0.795 0.880 0.750
0.205 0.120 0.250
0.856 0.144 0.250
0.120 0.205 0.750
0.144 0.856 0.750
0.880 0.795 0.250
```

Values from the calculation:
Formation energy from raw total energies ... 258 meV/atom

---

A plane-wave DFT calculation with PBE was carried out for crystalline Te3As at its relaxed geometry.

POSCAR file:
```
Te3As
1.0
-4.319 -0.688 -2.948
-3.982 -2.950 1.805
-4.543 2.280 1.406
Te As
3 1
direct
0.500 0.500 0.500
0.250 0.250 0.250
0.750 0.750 0.750
0.000 0.000 0.000
```

Values from the calculation:
Formation energy from raw total energies ... 430 meV/atom

---

A plane-wave DFT calculation with PBE was carried out for crystalline Te3As at its relaxed geometry.

POSCAR file:
```
Te3As
1.0
-2.242 1.577 -2.838
-0.810 -3.607 1.379
-5.065 3.386 5.882
Te As
3 1
direct
0.000 0.000 0.500
0.667 0.333 0.773
0.667 0.333 0.227
0.000 0.000 0.000
```

Values from the calculation:
Formation energy from raw total energies ... 217 meV/atom

---

A plane-wave DFT calculation with PBE was carried out for crystalline TeAs3 at its relaxed geometry.

POSCAR file:
```
TeAs3
1.0
-4.650 -3.214 0.085
3.667 -3.642 -2.291
-1.520 2.518 4.828
As Te
3 1
direct
0.234 0.224 0.010
0.786 0.776 0.010
0.153 0.500 0.653
0.660 0.000 0.660
```

Values from the calculation:
Formation energy from raw total energies ... 268 meV/atom

---

A plane-wave DFT calculation with PBE was carried out for crystalline TeAs3 at its relaxed geometry.

POSCAR file:
```
TeAs3
1.0
-4.135 -1.551 2.235
-0.608 -3.425 -3.522
1.868 -2.267 1.882
Te As
1 3
direct
0.000 0.000 0.000
0.500 0.500 0.000
0.500 0.000 0.500
0.000 0.500 0.500
```

Values from the calculation:
Formation energy from raw total energies ... 461 meV/atom

---

A plane-wave DFT calculation with PBE was carried out for crystalline TeAs3 at its relaxed geometry.

POSCAR file:
```
TeAs3
1.0
3.404 0.000 0.000
0.000 3.404 0.000
0.000 0.000 8.065
As Te
3 1
direct
0.000 0.000 0.080
0.000 0.000 0.420
0.500 0.500 0.250
0.500 0.500 0.750
```

Values from the calculation:
Formation energy from raw total energies ... 369 meV/atom

---

A plane-wave DFT calculation with PBE was carried out for crystalline Te3As at its relaxed geometry.

POSCAR file:
```
Te3As
1.0
-0.529 1.181 4.146
-2.264 -2.455 2.777
5.182 -3.982 4.014
Te As
3 1
direct
0.500 0.500 0.500
0.257 0.257 0.225
0.743 0.743 0.775
0.000 0.000 0.000
```

Values from the calculation:
Formation energy from raw total energies ... 74 meV/atom

---

A plane-wave DFT calculation with PBE was carried out for crystalline TeAs3 at its relaxed geometry.

POSCAR file:
```
TeAs3
1.0
-1.679 -5.156 -1.306
0.756 -1.587 5.293
-5.265 1.417 1.177
As Te
6 2
direct
0.000 0.750 0.500
0.250 0.500 0.000
0.500 0.000 0.750
0.000 0.250 0.500
0.500 0.000 0.250
0.750 0.500 0.000
0.500 0.500 0.500
0.000 0.000 0.000
```

Values from the calculation:
Formation energy from raw total energies ... 598 meV/atom

---

A plane-wave DFT calculation with PBE was carried out for crystalline TeAs3 at its relaxed geometry.

POSCAR file:
```
TeAs3
1.0
5.896 -0.028 0.003
2.842 5.166 -0.003
-3.969 -3.249 2.908
As Te
3 1
direct
0.205 0.205 0.000
0.795 0.795 0.000
0.000 0.500 0.500
0.500 0.000 0.500
```

Values from the calculation:
Formation energy from raw total energies ... 416 meV/atom

---

A plane-wave DFT calculation with PBE was carried out for crystalline Te3As at its relaxed geometry.

POSCAR file:
```
Te3As
1.0
3.228 0.016 0.000
-0.989 3.073 0.000
0.000 0.000 11.226
As Te
1 3
direct
0.000 0.000 0.000
0.000 0.000 0.500
0.500 0.500 0.200
0.500 0.500 0.800
```

Values from the calculation:
Formation energy from raw total energies ... 314 meV/atom

---

A plane-wave DFT calculation with PBE was carried out for crystalline Te4As3 at its relaxed geometry.

POSCAR file:
```
Te4As3
1.0
8.638 -7.243 -8.013
11.097 -7.566 -3.302
-11.220 5.179 6.211
Te As
4 3
direct
0.557 0.557 0.000
0.443 0.443 0.000
0.157 0.157 0.000
0.843 0.843 0.000
0.000 0.000 0.000
0.304 0.304 0.000
0.696 0.696 0.000
```

Values from the calculation:
Formation energy from raw total energies ... 320 meV/atom

---

A plane-wave DFT calculation with PBE was carried out for crystalline Te7As6 at its relaxed geometry.

POSCAR file:
```
Te7As6
1.0
9.405 -0.028 -0.018
6.207 7.065 -0.018
6.207 2.798 6.488
As Te
6 7
direct
0.676 0.676 0.676
0.809 0.809 0.809
0.956 0.956 0.956
0.191 0.191 0.191
0.324 0.324 0.324
0.044 0.044 0.044
0.583 0.070 0.583
0.417 0.930 0.417
0.500 0.500 0.500
0.070 0.583 0.583
0.417 0.417 0.930
0.583 0.583 0.070
0.930 0.417 0.417
```

Values from the calculation:
Formation energy from raw total energies ... 314 meV/atom